1.
Material: NpPO6F
Method: DFT, GGA-PBE
State: optimized geometry

Structure (extended XYZ):
```
9
Lattice="5.338 0.000 0.000 -0.671 5.311 0.000 -1.221 -1.257 5.139" Properties=species:S:1:pos:R:3 pbc="T T T"
Np 0.000 0.000 0.000
P 3.666 2.453 1.948
O -1.125 3.076 3.253
O 0.777 4.894 0.939
O 2.194 2.146 2.323
O 2.648 -0.900 4.209
O 3.766 3.437 0.759
O 4.444 1.161 1.642
F -0.322 0.495 4.546
```

Properties
Symmetry   No. 1
Formation energy from raw total energies   -2.115 eV/atom
Uncorrected energy   -69.01 eV per cell

---

2.
Material: VB4W
Method: DFT, GGA-PBE
State: optimized geometry

Structure (extended XYZ):
```
6
Lattice="0.000 2.935 2.935 2.935 0.000 2.935 2.935 2.935 0.000" Properties=species:S:1:pos:R:3 pbc="T T T"
V 0.000 0.000 0.000
B 3.737 2.132 2.132
B 2.132 3.737 2.132
B 2.132 2.132 3.737
B 3.737 3.737 3.737
W 1.467 1.467 1.467
```

Properties
Symmetry   No. 216
E above lowest polymorph   0.6268 eV per atom
E_form   0.202 eV per atom
Uncorrected energy   -47.57 eV per cell

---

3.
Material: Pa2BiPbO8
Method: DFT, GGA-PBE
State: optimized geometry

Structure (extended XYZ):
```
12
Lattice="-2.764 2.764 5.464 2.764 -2.764 5.464 2.764 2.764 -5.464" Properties=species:S:1:pos:R:3 pbc="T T T"
Pa 0.000 0.000 0.000
Pa 0.000 2.764 2.732
Bi 0.000 0.000 5.464
Pb 2.764 0.000 2.732
O 1.387 1.264 -1.363
O 4.141 1.264 -1.363
O 1.264 1.387 1.363
O 1.500 -1.377 6.827
O -1.377 1.500 4.101
O 1.377 1.500 4.101
O 1.264 4.141 1.363
O 1.500 1.377 6.827
```

Properties
Symmetry   No. 119
Formation energy from raw total energies   -2.551 eV/atom
Uncorrected energy   -96.86 eV per cell

---

4.
Material: Tb2DyEr5Th
Method: DFT, GGA-PBE
State: optimized geometry

Structure (extended XYZ):
```
18
Lattice="-4.363 4.363 7.457 4.363 -4.363 7.457 4.363 4.363 -7.457" Properties=species:S:1:pos:R:3 pbc="T T T"
Tb 5.359 0.996 0.000
Tb 0.996 3.366 0.000
Tb 3.366 0.996 7.457
Tb -0.996 3.366 7.457
Dy 4.363 0.000 3.728
Dy 0.000 4.363 3.728
Er 0.000 0.000 0.000
Er 2.531 1.832 -2.037
Er 2.531 -1.832 5.420
Er 2.531 1.832 2.037
Er 2.531 -1.832 9.494
Er 0.000 0.000 7.457
Er 1.832 6.194 -2.037
Er 1.832 2.531 5.420
Er 1.832 6.194 2.037
Er 1.832 2.531 9.494
Th 0.000 0.000 3.728
Th 0.000 0.000 11.185
```

Properties
Symmetry   No. 140
E_form   0.316 eV per atom
Uncorrected energy   -82.51 eV per cell

---

Question: uncorrected energy of number 3 (Pa2BiPbO8)?
Answer: -96.86 eV per cell